Record 1
Compound: Sc6Al16Os7
Source: Alexandria via LeMat-Bulk
Functional: SCAN
Structure: PBEsol geometry

Output
Space-group type: Fm-3m, No. 225
E_form in kJ/mol of atoms: -71.1

abc: 8.695 8.695 8.695
angles: 60.00 60.00 60.00
Fractional positions:
Sc: 0.215 0.215 0.785
Sc: 0.215 0.785 0.215
Sc: 0.215 0.785 0.785
Sc: 0.785 0.215 0.215
Sc: 0.785 0.215 0.785
Sc: 0.785 0.785 0.215
Al: 0.138 0.621 0.621
Al: 0.162 0.162 0.162
Al: 0.162 0.162 0.513
Al: 0.162 0.513 0.162
Al: 0.379 0.379 0.379
Al: 0.379 0.379 0.862
Al: 0.379 0.862 0.379
Al: 0.487 0.838 0.838
Al: 0.513 0.162 0.162
Al: 0.621 0.138 0.621
Al: 0.621 0.621 0.138
Al: 0.621 0.621 0.621
Al: 0.838 0.487 0.838
Al: 0.838 0.838 0.487
Al: 0.838 0.838 0.838
Al: 0.862 0.379 0.379
Os: 0.000 0.000 0.500
Os: 0.000 0.500 0.000
Os: 0.000 0.500 0.500
Os: 0.500 0.000 0.000
Os: 0.500 0.000 0.500
Os: 0.500 0.500 0.000
Os: 0.500 0.500 0.500

Record 2
Compound: Sc2AlOs
Source: Alexandria via LeMat-Bulk
Functional: SCAN
Structure: PBEsol geometry

Output
Space-group type: F-43m, No. 216
E_form in kJ/mol of atoms: -46.4

abc: 6.421 6.421 6.421
angles: 90.00 90.00 90.00
Fractional positions:
Sc: 0.000 0.000 0.000
Sc: 0.000 0.500 0.500
Sc: 0.250 0.250 0.250
Sc: 0.250 0.750 0.750
Sc: 0.500 0.000 0.500
Sc: 0.500 0.500 0.000
Sc: 0.750 0.250 0.750
Sc: 0.750 0.750 0.250
Al: 0.250 0.250 0.750
Al: 0.250 0.750 0.250
Al: 0.750 0.250 0.250
Al: 0.750 0.750 0.750
Os: 0.000 0.000 0.500
Os: 0.000 0.500 0.000
Os: 0.500 0.000 0.000
Os: 0.500 0.500 0.500

Record 3
Compound: ScAlOs2
Source: Alexandria via LeMat-Bulk
Functional: SCAN
Structure: PBEsol geometry

Output
Space-group type: P4mm, No. 99
E_form in kJ/mol of atoms: -33.7

abc: 2.819 2.819 7.909
angles: 90.00 90.00 90.00
Fractional positions:
Sc: 0.000 0.000 0.000
Al: 0.500 0.500 0.298
Os: 0.000 0.000 0.523
Os: 0.500 0.500 0.734

Record 4
Compound: ScAlOs2
Source: Alexandria via LeMat-Bulk
Functional: SCAN
Structure: PBEsol geometry

Output
Space-group type: Imm2, No. 44
E_form in kJ/mol of atoms: -48.3

abc: 3.035 4.292 9.188
angles: 90.00 90.00 90.00
Fractional positions:
Sc: 0.000 0.000 0.000
Sc: 0.500 0.500 0.500
Al: 0.000 0.500 0.771
Al: 0.500 0.000 0.271
Os: 0.000 0.000 0.507
Os: 0.000 0.500 0.241
Os: 0.500 0.000 0.741
Os: 0.500 0.500 0.007

Record 5
Compound: Sc2AlOs
Source: Alexandria via LeMat-Bulk
Functional: SCAN
Structure: PBEsol geometry

Output
Space-group type: P4/mmm, No. 123
E_form in kJ/mol of atoms: -60.4

abc: 3.277 3.277 6.486
angles: 90.00 90.00 90.00
Fractional positions:
Sc: 0.000 0.000 0.229
Sc: 0.000 0.000 0.771
Al: 0.500 0.500 0.500
Os: 0.500 0.500 0.000

Record 6
Compound: Sc2AlTlOs
Source: Alexandria via LeMat-Bulk
Functional: SCAN
Structure: PBEsol geometry

Output
Space-group type: P4/mmm, No. 123
E_form in kJ/mol of atoms: 108.0

abc: 5.134 5.134 4.904
angles: 90.00 90.00 90.00
Fractional positions:
Sc: 0.000 0.500 0.000
Sc: 0.500 0.000 0.000
Al: 0.000 0.000 0.500
Tl: 0.500 0.500 0.000
Os: 0.500 0.500 0.500

Record 7
Compound: AlOsSe2
Source: Alexandria via LeMat-Bulk
Functional: SCAN
Structure: PBEsol geometry

Output
Energy relative to the elements, uncorrected in meV per atom: 201
Space-group type: R-3m, No. 166

abc: 3.658 3.658 22.654
angles: 90.00 90.00 120.00
Fractional positions:
Al: 0.000 0.000 0.000
Al: 0.333 0.667 0.667
Al: 0.667 0.333 0.333
Os: 0.000 0.000 0.500
Os: 0.333 0.667 0.167
Os: 0.667 0.333 0.833
Se: 0.000 0.000 0.111
Se: 0.000 0.000 0.889
Se: 0.333 0.667 0.556
Se: 0.333 0.667 0.778
Se: 0.667 0.333 0.222
Se: 0.667 0.333 0.444

Record 8
Compound: AlOsSe
Source: Alexandria via LeMat-Bulk
Functional: SCAN
Structure: PBEsol geometry

Output
Polymorph energy (0 for the lowest one) in eV/atom: 0.089
Energy relative to the elements, uncorrected in meV per atom: 233
Space-group type: P-6m2, No. 187

abc: 4.247 4.247 2.948
angles: 90.00 90.00 120.00
Fractional positions:
Al: 0.000 0.000 0.000
Os: 0.667 0.333 0.500
Se: 0.333 0.667 0.500

Record 9
Compound: AlOs2Se
Source: Alexandria via LeMat-Bulk
Functional: SCAN
Structure: PBEsol geometry

Output
Polymorph energy (0 for the lowest one) in eV/atom: 0.211
Energy relative to the elements, uncorrected in meV per atom: 421
Space-group type: P2/m, No. 10

abc: 2.859 4.150 5.302
angles: 90.00 102.42 90.00
Fractional positions:
Al: 0.000 0.000 0.000
Os: 0.380 0.500 0.221
Os: 0.620 0.500 0.779
Se: 0.500 0.000 0.500

Record 10
Compound: AlOs2Se
Source: Alexandria via LeMat-Bulk
Functional: SCAN
Structure: PBEsol geometry

Output
Polymorph energy (0 for the lowest one) in eV/atom: 0.000
Energy relative to the elements, uncorrected in meV per atom: 210
Space-group type: C2/m, No. 12

abc: 8.320 2.883 4.927
angles: 90.00 102.32 90.00
Fractional positions:
Al: 0.000 0.000 0.000
Al: 0.500 0.500 0.000
Os: 0.243 0.500 0.255
Os: 0.257 0.000 0.745
Os: 0.743 0.000 0.255
Os: 0.757 0.500 0.745
Se: 0.000 0.500 0.500
Se: 0.500 0.000 0.500

Record 11
Compound: AlOs2Se
Source: Alexandria via LeMat-Bulk
Functional: SCAN
Structure: PBEsol geometry

Output
Polymorph energy (0 for the lowest one) in eV/atom: 0.553
Energy relative to the elements, uncorrected in meV per atom: 763
Space-group type: F-43m, No. 216

abc: 6.217 6.217 6.217
angles: 90.00 90.00 90.00
Fractional positions:
Al: 0.000 0.000 0.000
Al: 0.000 0.500 0.500
Al: 0.500 0.000 0.500
Al: 0.500 0.500 0.000
Os: 0.000 0.000 0.500
Os: 0.000 0.500 0.000
Os: 0.250 0.250 0.750
Os: 0.250 0.750 0.250
Os: 0.500 0.000 0.000
Os: 0.500 0.500 0.500
Os: 0.750 0.250 0.250
Os: 0.750 0.750 0.750
Se: 0.250 0.250 0.250
Se: 0.250 0.750 0.750
Se: 0.750 0.250 0.750
Se: 0.750 0.750 0.250

Record 12
Compound: AlOsSe
Source: Alexandria via LeMat-Bulk
Functional: SCAN
Structure: PBEsol geometry

Output
Polymorph energy (0 for the lowest one) in eV/atom: 0.064
Energy relative to the elements, uncorrected in meV per atom: 207
Space-group type: I4mm, No. 107

abc: 2.952 2.952 10.922
angles: 90.00 90.00 90.00
Fractional positions:
Al: 0.000 0.000 0.000
Al: 0.500 0.500 0.500
Os: 0.000 0.000 0.643
Os: 0.500 0.500 0.143
Se: 0.000 0.000 0.291
Se: 0.500 0.500 0.791